No. 1
10
Lattice="-5.335 0.091 -5.715 -5.445 -2.458 5.044 -6.619 4.066 0.895" Properties=species:S:1:pos:R:3 comment="Rb2BiRhBr6 | Alexandria via LeMat-Bulk | PBE | relaxed" e_form_raw_ev_per_atom=-0.9160 final_energy_ev_per_cell=-32.36 m_tot_mub_per_fu=0.01 dos_at_fermi_per_ev_cell=4.39 pbc="T T T"
Br -5.972 1.300 0.247
Br -5.416 -1.786 2.210
Br -5.364 -0.580 -2.880
Br -11.428 0.400 -0.022
Br -7.940 -1.743 -0.494
Bi 0.000 0.000 0.000
Rb -8.672 1.487 -2.577
Br -2.840 -0.623 -0.177
Rb -8.727 0.213 2.802
Rh -5.390 -1.183 -0.335

No. 2
5
Lattice="4.700 0.000 0.000 0.000 4.700 0.000 0.000 0.000 4.700" Properties=species:S:1:pos:R:3 comment="Re3HgRh | Alexandria via LeMat-Bulk | PBE | relaxed" e_above_lowest_polymorph_mev_per_atom=0 final_energy_ev_per_cell=-33.57 m_tot_mub_per_fu=1.33 dos_at_fermi_per_ev_cell=5.48 formation_energy_kj_per_mol_atoms=220.47 pbc="T T T"
Re 0.000 0.000 2.350
Rh 0.000 0.000 0.000
Re 0.000 2.350 0.000
Re 2.350 0.000 0.000
Hg 2.350 2.350 2.350

No. 3
4
Lattice="-2.054 -1.255 -1.685 2.087 -1.487 -1.438 -0.604 -5.577 4.890" Properties=species:S:1:pos:R:3 comment="ZrTaCr2 | Alexandria via LeMat-Bulk | PBE | relaxed" e_above_lowest_polymorph_mev_per_atom=0 final_energy_ev_per_cell=-39.08 m_tot_mub_per_fu=0.06 dos_at_fermi_per_ev_cell=3.62 formation_energy_kj_per_mol_atoms=13.60 pbc="T T T"
Ta -0.275 -2.534 2.222
Cr -0.030 -0.280 0.246
Cr -0.113 -2.567 -0.513
Zr -0.456 -5.726 2.258

No. 4
5
Lattice="-1.553 0.869 -3.669 -3.139 -2.495 0.738 -2.088 3.106 1.620" Properties=species:S:1:pos:R:3 comment="MgHgN3 | Alexandria via LeMat-Bulk | PBE | relaxed" e_form_raw_ev_per_atom=1.8614 final_energy_ev_per_cell=-17.57 m_tot_mub_per_fu=4.76 dos_at_fermi_per_ev_cell=3.09 pbc="T T T"
N -1.570 -1.248 0.369
Mg 0.000 0.000 0.000
Hg -3.390 0.740 -0.655
N -0.777 0.435 -1.834
N -1.044 1.553 0.810